The following is a DFT calculation (PBE-GGA) of crystalline Na2Y2UO6 at its relaxed geometry.

a = 5.9983 Å, b = 10.4640 Å, c = 5.9480 Å
α = 90.00°, β = 108.84°, γ = 90.00°
Space group C2/m (No. 12)
Inequivalent atoms, fractional coordinates:
Na 0.0000 0.1723 0.0000
Y 0.0000 0.3344 0.5000
U 0.0000 0.0000 0.5000
O 0.2213 0.1708 0.7001
O 0.2500 0.0000 0.3050

Values from the calculation:
The value obtained for the total magnetic moment is 2.0 μB per formula unit. The value obtained for the uncorrected energy is -7.972 eV per atom. The formation energy from raw total energies comes out at -2.826 eV/atom.